{
  "formula": "PrErCo2",
  "functional": "PBE",
  "state": "optimized geometry",
  "lattice": [[3.8893, 0.0000, 0.0000], [0.0000, 5.6893, 0.0000], [0.0000, 0.0000, 7.6224]],
  "species": ["Pr", "Pr", "Er", "Er", "Co", "Co", "Co", "Co"],
  "fractional_positions": [[0.0000, 0.1306, 0.0000], [0.0000, 0.8694, 0.5000], [0.5000, 0.3723, 0.6428], [0.5000, 0.6277, 0.1428], [0.0000, 0.3659, 0.3548], [0.0000, 0.6341, 0.8548], [0.5000, 0.1758, 0.3000], [0.5000, 0.8242, 0.8000]],
  "formation_energy_mev_per_atom": -121,
  "final_energy_ev_per_atom": -6.009
}



{
  "formula": "Pr2ErCo",
  "functional": "PBE",
  "state": "optimized geometry",
  "lattice": [[3.5605, 0.0000, 0.0000], [0.0000, 3.5605, 0.0000], [0.0000, 0.0000, 8.8032]],
  "species": ["Pr", "Pr", "Er", "Co"],
  "fractional_positions": [[0.0000, 0.0000, 0.1951], [0.0000, 0.0000, 0.8049], [0.5000, 0.5000, 0.5000], [0.5000, 0.5000, 0.0000]],
  "formation_energy_mev_per_atom": 103,
  "final_energy_ev_per_atom": -5.204
}



{
  "formula": "PrErCo2",
  "functional": "PBE",
  "state": "optimized geometry",
  "lattice": [[0.0000, 3.4019, 3.4019], [3.4019, 0.0000, 3.4019], [3.4019, 3.4019, 0.0000]],
  "species": ["Pr", "Er", "Co", "Co"],
  "fractional_positions": [[0.0000, 0.0000, 0.0000], [0.5000, 0.5000, 0.5000], [0.2500, 0.2500, 0.2500], [0.7500, 0.7500, 0.7500]],
  "formation_energy_mev_per_atom": -26,
  "final_energy_ev_per_atom": -5.914
}



{
  "formula": "PrErCo",
  "functional": "PBE",
  "state": "optimized geometry",
  "lattice": [[0.0000, 3.3684, 3.3684], [3.3684, 0.0000, 3.3684], [3.3684, 3.3684, 0.0000]],
  "species": ["Pr", "Er", "Co"],
  "fractional_positions": [[0.0000, 0.0000, 0.0000], [0.5000, 0.5000, 0.5000], [0.7500, 0.7500, 0.7500]],
  "formation_energy_mev_per_atom": 13,
  "final_energy_ev_per_atom": -5.470
}



{
  "formula": "PrErCo",
  "functional": "PBE",
  "state": "optimized geometry",
  "lattice": [[-1.7082, 1.7082, 6.4411], [1.7082, -1.7082, 6.4411], [1.7082, 1.7082, -6.4411]],
  "species": ["Pr", "Er", "Co"],
  "fractional_positions": [[0.0000, 0.0000, 0.0000], [0.2563, 0.2563, 0.0000], [0.6395, 0.6395, 0.0000]],
  "formation_energy_mev_per_atom": -39,
  "final_energy_ev_per_atom": -5.521
}



{
  "formula": "Pr2ErCo9",
  "functional": "PBE",
  "state": "optimized geometry",
  "lattice": [[2.4977, 1.4420, 8.3626], [-2.4977, 1.4420, 8.3626], [0.0000, -2.8841, 8.3626]],
  "species": ["Pr", "Pr", "Er", "Co", "Co", "Co", "Co", "Co", "Co", "Co", "Co", "Co"],
  "fractional_positions": [[0.1391, 0.1391, 0.1391], [0.8609, 0.8609, 0.8609], [0.0000, 0.0000, 0.0000], [0.0813, 0.5759, 0.5759], [0.3329, 0.3329, 0.3329], [0.4241, 0.4241, 0.9187], [0.4241, 0.9187, 0.4241], [0.5000, 0.5000, 0.5000], [0.5759, 0.0813, 0.5759], [0.5759, 0.5759, 0.0813], [0.6671, 0.6671, 0.6671], [0.9187, 0.4241, 0.4241]],
  "formation_energy_mev_per_atom": -68,
  "final_energy_ev_per_atom": -6.574
}



{
  "formula": "PrErCo2",
  "functional": "PBE",
  "state": "optimized geometry",
  "lattice": [[3.4045, 0.0000, 0.0000], [0.0000, 3.4045, 0.0000], [0.0000, 0.0000, 6.8083]],
  "species": ["Pr", "Er", "Co", "Co"],
  "fractional_positions": [[0.0000, 0.0000, 0.0000], [0.0000, 0.0000, 0.5000], [0.5000, 0.5000, 0.2672], [0.5000, 0.5000, 0.7328]],
  "formation_energy_mev_per_atom": -31,
  "final_energy_ev_per_atom": -5.920
}



{
  "formula": "Pr2ErCo",
  "functional": "PBE",
  "state": "optimized geometry",
  "lattice": [[1.9320, 1.1154, 9.1883], [-1.9320, 1.1154, 9.1883], [0.0000, -2.2309, 9.1883]],
  "species": ["Pr", "Pr", "Er", "Co"],
  "fractional_positions": [[0.0000, 0.0000, 0.0000], [0.2183, 0.2183, 0.2183], [0.7767, 0.7767, 0.7767], [0.3906, 0.3906, 0.3906]],
  "formation_energy_mev_per_atom": 24,
  "final_energy_ev_per_atom": -5.283
}



{
  "formula": "PrErCo",
  "functional": "PBE",
  "state": "optimized geometry",
  "lattice": [[6.2244, 0.0000, 0.0000], [0.0000, 3.7388, 0.0000], [-0.2990, 0.0000, 6.8623]],
  "species": ["Pr", "Pr", "Er", "Er", "Co", "Co"],
  "fractional_positions": [[0.1371, 0.2500, 0.3068], [0.8629, 0.7500, 0.6932], [0.3561, 0.2500, 0.8072], [0.6439, 0.7500, 0.1928], [0.3895, 0.7500, 0.5287], [0.6105, 0.2500, 0.4713]],
  "formation_energy_mev_per_atom": -56,
  "final_energy_ev_per_atom": -5.538
}



{
  "formula": "PrEr4Co",
  "functional": "PBE",
  "state": "optimized geometry",
  "lattice": [[3.5245, 0.0000, 0.0000], [-0.0362, 6.1264, 0.0000], [-0.1174, -1.6711, 8.5413]],
  "species": ["Pr", "Er", "Er", "Er", "Er", "Co"],
  "fractional_positions": [[0.0000, 0.0000, 0.0000], [0.0035, 0.4089, 0.7137], [0.4897, 0.8893, 0.6529], [0.5103, 0.1107, 0.3471], [0.9965, 0.5911, 0.2863], [0.5000, 0.5000, 0.5000]],
  "formation_energy_mev_per_atom": 79,
  "final_energy_ev_per_atom": -4.944
}



{
  "formula": "PrEr3Co",
  "functional": "PBE",
  "state": "optimized geometry",
  "lattice": [[6.5813, -1.8636, 0.0000], [6.5813, 1.8636, 0.0000], [-0.2037, 0.0000, 11.1123]],
  "species": ["Pr", "Pr", "Er", "Er", "Er", "Er", "Er", "Er", "Co", "Co"],
  "fractional_positions": [[0.1651, 0.1651, 0.0906], [0.8349, 0.8349, 0.9094], [0.0612, 0.0612, 0.3739], [0.2153, 0.2153, 0.6352], [0.4341, 0.4341, 0.1614], [0.5659, 0.5659, 0.8386], [0.7847, 0.7847, 0.3648], [0.9388, 0.9388, 0.6261], [0.4155, 0.4155, 0.4395], [0.5845, 0.5845, 0.5605]],
  "formation_energy_mev_per_atom": -106,
  "final_energy_ev_per_atom": -5.221
}



{
  "formula": "PrEr3Co",
  "functional": "PBE",
  "state": "optimized geometry",
  "lattice": [[5.2652, 0.0000, 0.0000], [0.0000, 5.2652, 0.0000], [0.0000, 0.0000, 5.2652]],
  "species": ["Pr", "Er", "Er", "Er", "Co"],
  "fractional_positions": [[0.0000, 0.0000, 0.0000], [0.0000, 0.5000, 0.5000], [0.5000, 0.0000, 0.5000], [0.5000, 0.5000, 0.0000], [0.5000, 0.5000, 0.5000]],
  "formation_energy_mev_per_atom": -56,
  "final_energy_ev_per_atom": -5.171
}